A geometry-optimized Cs3TeF structure, computed with PBE-GGA.

The density of states at the Fermi level comes out at 0.000 states/eV/atom. The calculation puts the energy above the most stable polymorph in this dataset at 0.053 eV/atom. The volume comes out at 901 Å³/cell.

```
Cs3TeF
1.0
-22.347 -14.119 8.080
2.332 -6.381 -4.701
10.202 3.670 0.078
Cs Te F
12 4 4
Direct
0.250 0.000 0.750 Cs
0.750 0.000 0.250 Cs
0.250 0.500 0.750 Cs
0.750 0.500 0.250 Cs
0.384 0.250 0.384 Cs
0.616 0.750 0.616 Cs
0.116 0.750 0.116 Cs
0.884 0.250 0.884 Cs
0.532 0.750 0.032 Cs
0.468 0.250 0.968 Cs
0.968 0.250 0.468 Cs
0.032 0.750 0.532 Cs
0.399 0.750 0.399 Te
0.601 0.250 0.601 Te
0.101 0.250 0.101 Te
0.899 0.750 0.899 Te
0.127 0.250 0.627 F
0.873 0.750 0.373 F
0.373 0.750 0.873 F
0.627 0.250 0.127 F
```

---

A geometry-optimized Ho4CuIr3 structure, computed with PBE-GGA.

The value obtained for the total energy is -6.847 eV/atom. The density of states at the Fermi level comes out at 0.741 states/eV/atom. The volume comes out at 321 Å³/cell.

```
Ho4CuIr3
1.0
-2.695 -1.540 -3.801
5.395 -2.857 -2.668
-2.026 -8.315 4.807
Ir Ho Cu
6 8 2
Direct
0.000 0.000 0.000 Ir
0.000 0.000 0.500 Ir
0.500 0.000 0.750 Ir
0.500 0.000 0.250 Ir
0.500 0.500 0.750 Ir
0.500 0.500 0.250 Ir
0.500 0.753 0.000 Ho
0.500 0.753 0.500 Ho
0.500 0.247 0.000 Ho
0.500 0.247 0.500 Ho
0.000 0.753 0.750 Ho
0.000 0.753 0.250 Ho
0.000 0.247 0.250 Ho
0.000 0.247 0.750 Ho
0.000 0.500 0.000 Cu
0.000 0.500 0.500 Cu
```

---

A geometry-optimized ScTaSb3 structure, computed with PBE-GGA.

The density of states at the Fermi level comes out at 0.733 states/eV/atom. The calculation puts the energy above the most stable polymorph in this dataset at 0.000 eV/atom. The volume comes out at 153 Å³/cell.

```
ScTaSb3
1.0
5.348 0.000 0.000
0.000 5.348 0.000
0.000 0.000 5.348
Sc Sb Ta
1 3 1
Direct
0.500 0.500 0.500 Sc
0.000 0.500 0.000 Sb
0.000 0.000 0.500 Sb
0.500 0.000 0.000 Sb
0.000 0.000 0.000 Ta
```

---

A geometry-optimized Ti2VW structure, computed with PBE-GGA.

The density of states at the Fermi level comes out at 1.332 states/eV/atom. The calculation puts the energy above the most stable polymorph in this dataset at 0.534 eV/atom. The volume comes out at 130 Å³/cell.

```
Ti2VW
1.0
6.985 0.000 0.000
0.000 6.985 0.000
3.493 3.493 2.671
V W Ti
2 2 4
Direct
0.500 0.500 0.000 V
0.250 0.750 0.500 V
0.000 0.000 0.000 W
0.750 0.250 0.500 W
0.617 0.125 0.250 Ti
0.133 0.625 0.250 Ti
0.375 0.383 0.750 Ti
0.875 0.867 0.750 Ti
```

---

A geometry-optimized La2ZnSi3Au4 structure, computed with PBE-GGA.

The value obtained for the total energy is -4.693 eV/atom. The density of states at the Fermi level comes out at 0.488 states/eV/atom. The volume comes out at 202 Å³/cell.

```
La2ZnSi3Au4
1.0
-0.883 1.421 -4.062
-0.737 -4.136 -1.286
-10.087 1.006 2.545
La Zn Si Au
2 1 3 4
Direct
0.500 0.000 0.246 La
0.000 0.500 0.754 La
0.500 0.500 0.500 Zn
0.000 0.000 0.500 Si
0.500 0.000 0.867 Si
0.000 0.500 0.133 Si
0.500 0.500 0.000 Au
0.000 0.000 0.000 Au
0.500 0.000 0.631 Au
0.000 0.500 0.369 Au
```

---

A geometry-optimized CaTa2Tl structure, computed with PBE-GGA.

The density of states at the Fermi level comes out at 0.967 states/eV/atom. The calculation puts the energy above the most stable polymorph in this dataset at 0.076 eV/atom. The volume comes out at 90 Å³/cell.

```
CaTa2Tl
1.0
3.096 0.001 0.000
-0.969 2.941 0.000
0.000 0.000 9.906
Tl Ca Ta
1 1 2
Direct
0.000 0.000 0.483 Tl
0.500 0.500 0.757 Ca
0.000 0.000 0.027 Ta
0.500 0.500 0.233 Ta
```